No. 1
Entry from the Alexandria database: crystalline CeGaSe at its relaxed geometry (PBE).

The space-group type is P-62m. For the energy relative to the elements, uncorrected, the calculation gives -0.77 eV per atom. The calculation puts the excess energy over the best structure of this formula in the dataset at 0.006 eV/atom.

```
CeGaSe
1.0
-3.248 -2.083 -2.511
2.251 -6.573 2.539
-5.225 3.775 3.629
Ga Ce Se
3 3 3
direct
0.000 0.000 0.778
0.000 0.778 0.000
0.000 0.222 0.222
0.000 0.667 0.333
0.000 0.333 0.667
0.500 0.000 0.000
0.500 0.000 0.410
0.500 0.590 0.590
0.500 0.410 0.000
```


No. 2
Entry from the Alexandria database: crystalline MnN3Cl at its relaxed geometry (PBE).

The space-group type is Pm-3m. For the energy relative to the elements, uncorrected, the calculation gives 2.88 eV per atom.

```
MnN3Cl
1.0
3.581 0.000 0.000
0.000 3.581 0.000
0.000 0.000 3.581
N Mn Cl
3 1 1
direct
0.000 0.500 0.000
0.000 0.000 0.500
0.500 0.000 0.000
0.500 0.500 0.500
0.000 0.000 0.000
```


No. 3
Entry from the Alexandria database: crystalline Cs3IrS4 at its relaxed geometry (PBE).

The space-group type is I4/mmm. For the energy relative to the elements, uncorrected, the calculation gives -0.58 eV per atom.

```
Cs3IrS4
1.0
-5.700 -3.253 3.106
5.717 -4.453 -0.452
2.320 5.662 3.908
Cs Ir S
3 1 4
direct
0.500 0.750 0.250
0.000 0.000 0.000
0.500 0.250 0.750
0.000 0.500 0.500
0.605 0.302 0.302
0.000 0.302 0.698
0.000 0.698 0.302
0.395 0.698 0.698
```


No. 4
Entry from the Alexandria database: crystalline DyLu2In at its relaxed geometry (PBE).

The space-group type is Fm-3m. Its formation energy from the elements is -0.3 eV/f.u. The calculation puts the excess energy over the best structure of this formula in the dataset at 0.173 eV/atom.

```
DyLu2In
1.0
5.374 0.000 0.000
2.687 4.654 0.000
2.687 1.551 4.387
Lu In Dy
2 1 1
direct
0.250 0.250 0.250
0.750 0.750 0.750
0.500 0.500 0.500
0.000 0.000 0.000
```


No. 5
Entry from the Alexandria database: crystalline CaBi2Pt2 at its relaxed geometry (PBE).

The space-group type is P4/mbm. Its formation energy from the elements is -1.4 eV/f.u.

```
CaBi2Pt2
1.0
8.247 0.000 0.000
0.000 8.247 0.000
0.000 0.000 3.479
Ca Bi Pt
2 4 4
direct
0.000 0.000 0.000
0.500 0.500 0.000
0.356 0.856 0.000
0.856 0.644 0.000
0.644 0.144 0.000
0.144 0.356 0.000
0.153 0.653 0.500
0.653 0.847 0.500
0.847 0.347 0.500
0.347 0.153 0.500
```


No. 6
Entry from the Alexandria database: crystalline TlNiSnSe3 at its relaxed geometry (PBE).

The space-group type is P2_1/m. For the energy relative to the elements, uncorrected, the calculation gives -0.33 eV per atom.

```
TlNiSnSe3
1.0
4.124 0.000 0.000
0.000 9.150 0.029
0.000 -2.376 8.620
Tl Ni Sn Se
2 2 2 6
direct
0.250 0.173 0.216
0.750 0.827 0.784
0.250 0.077 0.562
0.750 0.923 0.438
0.250 0.660 0.143
0.750 0.340 0.857
0.750 0.874 0.159
0.250 0.126 0.841
0.250 0.810 0.463
0.750 0.190 0.537
0.750 0.452 0.174
0.250 0.548 0.826
```


No. 7
Entry from the Alexandria database: crystalline Ga4CuPt at its relaxed geometry (PBE).

The space-group type is P222. Its formation energy from the elements is -1.4 eV/f.u. The calculation puts the excess energy over the best structure of this formula in the dataset at 0.126 eV/atom.

```
Ga4CuPt
1.0
-2.791 -1.597 4.508
3.545 -4.928 0.449
3.799 3.045 3.431
Ga Cu Pt
8 2 2
direct
0.309 0.224 0.187
0.309 0.776 0.813
0.691 0.224 0.813
0.691 0.776 0.187
0.758 0.670 0.667
0.758 0.330 0.333
0.242 0.670 0.333
0.242 0.330 0.667
0.000 0.000 0.000
0.500 0.000 0.500
0.000 0.500 0.000
0.000 0.000 0.500
```


No. 8
Entry from the Alexandria database: crystalline SrIn2Rh at its relaxed geometry (PBE).

The space-group type is C2/m. Its formation energy from the elements is 0.2 eV/f.u.

```
SrIn2Rh
1.0
-4.287 2.019 3.021
-1.412 -3.296 -4.327
0.089 -2.744 2.019
In Rh Sr
2 1 1
direct
0.000 0.000 0.000
0.500 0.500 0.000
0.500 0.000 0.500
0.000 0.500 0.500
```


No. 9
Entry from the Alexandria database: crystalline YHoBi at its relaxed geometry (PBE).

The space-group type is P4/nmm. Its formation energy from the elements is -1.8 eV/f.u.

```
YHoBi
1.0
4.548 0.000 0.000
0.000 4.548 0.000
0.000 0.000 8.615
Y Ho Bi
2 2 2
direct
0.000 0.500 0.654
0.500 0.000 0.346
0.000 0.000 0.000
0.500 0.500 0.000
0.500 0.000 0.717
0.000 0.500 0.283
```


No. 10
Entry from the Alexandria database: crystalline CaInPb3 at its relaxed geometry (PBE).

The space-group type is P1. Its formation energy from the elements is -0.8 eV/f.u. The calculation puts the excess energy over the best structure of this formula in the dataset at 0.000 eV/atom.

```
CaInPb3
1.0
3.418 -0.732 -1.307
-1.388 9.247 -0.107
-1.935 -0.285 5.763
Ca In Pb
1 1 3
direct
0.493 0.143 0.220
0.108 0.748 0.019
0.718 0.343 0.820
0.258 0.944 0.619
0.877 0.547 0.427
```


No. 11
Entry from the Alexandria database: crystalline K2Rb6AgO at its relaxed geometry (PBE).

The space-group type is C2/m. For the energy relative to the elements, uncorrected, the calculation gives -0.25 eV per atom.

```
K2Rb6AgO
1.0
8.598 0.000 1.095
0.000 10.431 0.000
1.640 0.000 13.243
K Rb Ag O
4 12 2 2
direct
0.113 0.000 0.187
0.613 0.500 0.687
0.887 0.000 0.813
0.387 0.500 0.313
0.240 0.690 0.977
0.740 0.810 0.477
0.760 0.310 0.023
0.260 0.190 0.523
0.259 0.810 0.523
0.759 0.690 0.023
0.741 0.190 0.477
0.241 0.310 0.977
0.954 0.500 0.218
0.454 0.000 0.718
0.046 0.500 0.782
0.546 0.000 0.282
0.500 0.000 0.000
0.000 0.500 0.500
0.500 0.000 0.500
0.000 0.500 0.000
```


No. 12
Entry from the Alexandria database: crystalline Rb3Th2HgSe6 at its relaxed geometry (PBE).

The space-group type is C2/m. For the energy relative to the elements, uncorrected, the calculation gives -1.34 eV per atom.

```
Rb3Th2HgSe6
1.0
-1.658 2.070 3.474
-4.650 -7.876 2.474
9.803 -1.946 3.087
Rb Th Hg Se
3 2 1 6
direct
0.500 0.500 0.000
0.853 0.157 0.706
0.147 0.843 0.294
0.830 0.670 0.660
0.170 0.330 0.340
0.500 0.000 0.000
0.317 0.861 0.634
0.677 0.552 0.355
0.683 0.139 0.366
0.029 0.241 0.057
0.971 0.759 0.943
0.323 0.448 0.645
```


No. 13
Entry from the Alexandria database: crystalline YTa2Bi at its relaxed geometry (PBE).

The space-group type is I-42d. Its formation energy from the elements is 3.5 eV/f.u.

```
YTa2Bi
1.0
8.375 0.000 0.000
0.000 8.375 0.000
4.187 4.187 2.895
Y Bi Ta
2 2 4
direct
0.500 0.500 0.000
0.250 0.750 0.500
0.000 0.000 0.000
0.750 0.250 0.500
0.661 0.125 0.250
0.089 0.625 0.250
0.375 0.339 0.750
0.875 0.911 0.750
```


| no. | DOS(E_F) (states/eV/cell) | calculated volume (Å³ per cell) |
| --- | --- | --- |
| 1 | 15.4 | 218.2 |
| 2 | 4.1 | 45.9 |
| 3 | 5.1 | 293.4 |
| 4 | 6.4 | 109.7 |
| 5 | 8.8 | 236.6 |
| 6 | 6.7 | 325.6 |
| 7 | 3.4 | 200.8 |
| 8 | 3.4 | 97.0 |
| 9 | 4.8 | 178.2 |
| 10 | 2.2 | 152.1 |
| 11 | 11.1 | 1168.9 |
| 12 | 5.3 | 412.0 |
| 13 | 7.8 | 203.0 |